Here is AcPm5DyY2 after structural relaxation from Alexandria via LeMat-Bulk. Energies are from PBE-GGA.

Summary:
Energy of formation ... 0.08 eV/atom
Crystal system ... orthorhombic
Space group ... Cmc2_1, No. 36
Fermi-level density of states ... 27.7 states/eV per cell

Cell lengths 9.2597, 9.2597, 12.1919 Å; angles 90.00, 90.00, 143.24 degrees
Last column: nearest neighbours and their distance in Å.
Element x y z (fractional)
Ac (0.1151, 0.8849, 0.5000)  2 Y 3.55, 6 Pm 3.56-3.96, 2 Dy 3.78
Ac (0.8849, 0.1151, 0.0000)  2 Y 3.55, 6 Pm 3.56-3.96, 2 Dy 3.78
Pm (0.0782, 0.9218, 0.8404)  4 Pm 3.51-3.76, 4 Y 3.57-3.83, 1 Dy 3.57, 1 Ac 3.92
Pm (0.0797, 0.9203, 0.1637)  4 Pm 3.51-3.84, 1 Dy 3.57, 4 Y 3.58-3.73
Pm (0.2672, 0.7328, 0.2952)  3 Pm 3.17-3.51, 1 Y 3.27
Pm (0.2673, 0.7327, 0.7063)  2 Pm 3.17, 2 Y 3.27-3.48
Pm (0.4384, 0.5616, 0.1477)  3 Y 3.31-3.60, 1 Pm 3.51, 2 Ac 3.56
Pm (0.5616, 0.4384, 0.6477)  3 Y 3.31-3.60, 1 Pm 3.51, 2 Ac 3.56
Pm (0.7327, 0.2673, 0.2063)  2 Pm 3.17, 2 Y 3.27-3.48
Pm (0.7328, 0.2672, 0.7952)  3 Pm 3.17-3.51, 1 Y 3.27
Pm (0.9203, 0.0797, 0.6637)  4 Pm 3.51-3.84, 1 Dy 3.57, 4 Y 3.58-3.73
Pm (0.9218, 0.0782, 0.3404)  4 Pm 3.51-3.76, 4 Y 3.57-3.83, 1 Dy 3.57, 1 Ac 3.92
Dy (0.2482, 0.7518, 0.0003)  9 Pm 3.57-3.86, 3 Y 3.76-3.79, 2 Ac 3.78
Dy (0.7518, 0.2482, 0.5003)  9 Pm 3.57-3.86, 3 Y 3.76-3.79, 2 Ac 3.78
Y (0.3867, 0.6133, 0.5006)  7 Pm 3.27-3.58, 1 Y 3.58
Y (0.4377, 0.5623, 0.8521)  3 Pm 3.31-3.60, 2 Ac 3.55, 1 Y 3.58
Y (0.5623, 0.4377, 0.3521)  3 Pm 3.31-3.60, 2 Ac 3.55, 1 Y 3.58
Y (0.6133, 0.3867, 0.0006)  7 Pm 3.27-3.58, 1 Y 3.58

Here is Ac4Y after structural relaxation from Alexandria via LeMat-Bulk. Energies are from PBE-GGA.

Summary:
Energy of formation ... 0.57 eV/atom
Polymorph energy (0 for the lowest one) ... 0.529 eV per atom
Crystal system ... cubic
Space group ... Pm-3m, No. 221
Fermi-level density of states ... 9.9 states/eV per cell

Cell lengths 6.2635, 6.2635, 6.2635 Å; angles 90.00, 90.00, 90.00 degrees
Last column: nearest neighbours and their distance in Å.
Element x y z (fractional)
Ac (0.0000, 0.0000, 0.0000)  12 Ac 4.43
Ac (0.0000, 0.5000, 0.5000)  2 Y 3.13
Ac (0.5000, 0.0000, 0.5000)  2 Y 3.13
Ac (0.5000, 0.5000, 0.0000)  2 Y 3.13
Y (0.5000, 0.5000, 0.5000)  6 Ac 3.13

Q: Among the records above, which one has the highest Fermi-level density of states?
A: AcPm5DyY2